RbTe2Se | PBE | optimized geometry

abc: 11.2424 11.2424 11.2424
angles: 19.83 19.83 19.83
Last column: nearest neighbours and their distance in Å.
Element x y z (fractional)
Te 0.9199 0.9199 0.9199  1 Se 2.65
Te 0.0801 0.0801 0.0801  1 Se 2.65
Rb 0.5000 0.5000 0.5000  6 Te 3.63, 6 Rb 3.87
Se 0.0000 0.0000 0.0000  2 Te 2.65

Computed properties:
Its spin magnetization is 0.0 μB per cell. Its mass density is 4.87 g/cm3. The value obtained for the total energy is -2.642 eV/atom. The value obtained for the uncorrected formation energy is 0.0414 eV/atom.